Here is a relaxed UCoPb2O6 crystal from Alexandria. Energies are from PBE+U.

DFT total energy ... -72.5 eV for the cell shown

Lattice parameters (Å, degrees): 5.822 5.835 5.909 91.39 118.57 119.29
Space group P-1 (No. 2)
Asymmetric unit:
U: 0.000 0.000 0.000
Co: 0.000 0.500 0.500
Pb: 0.473 0.251 0.716
O: 0.000 0.201 0.702
O: 0.072 0.755 0.832
O: 0.499 0.698 0.702



Here is a relaxed ZnCoPbO4 crystal from Alexandria. Energies are from PBE+U.

DFT total energy ... -149.7 eV for the cell shown

Lattice parameters (Å, degrees): 6.169 6.504 8.899 90.00 90.00 90.00
Space group Imma (No. 74)
Asymmetric unit:
Zn: 0.000 0.250 0.138
Co: 0.250 0.250 0.750
Pb: 0.000 0.000 0.500
O: 0.000 0.021 0.744
O: 0.246 0.250 0.507



Here is a relaxed ZnCoPb2O6 crystal from Alexandria. Energies are from PBE+U.

DFT total energy ... -159.0 eV for the cell shown

Lattice parameters (Å, degrees): 5.4556 5.4556 14.2672 90.00 90.00 120.00
Space group R3 (No. 146, hexagonal axes)
Asymmetric unit:
Zn: 0.0000 0.0000 0.0000
Co: 0.0000 0.0000 0.5203
Pb: 0.0000 0.0000 0.2218
Pb: 0.0000 0.0000 0.7385
O: 0.0314 0.2983 0.6062
O: 0.0762 0.7359 0.1146



Here is a relaxed CoPdO3 crystal from Alexandria. Energies are from PBE+U.

DFT total energy ... -53.8 eV for the cell shown

Lattice parameters (Å, degrees): 4.9357 4.9357 6.1923 90.00 90.00 120.00
Space group P-31m (No. 162)
Asymmetric unit:
Co: 0.3333 0.6667 0.0000
Pd: 0.0000 0.0000 0.2805
O: 0.0000 0.3812 0.8261



Here is a relaxed CoPd3O crystal from Alexandria. Energies are from PBE+U.

Offset from the most stable computed form ... 5.85 eV per formula unit

Lattice parameters (Å, degrees): 4.571 4.571 4.571 90.00 90.00 90.00
Space group Pm-3m (No. 221)
Asymmetric unit:
Co: 0.000 0.000 0.000
Pd: 0.000 0.000 0.500
O: 0.500 0.500 0.500



Here is a relaxed CoPd2O4 crystal from Alexandria. Energies are from PBE+U.

Offset from the most stable computed form ... 0.03 eV per formula unit

Lattice parameters (Å, degrees): 11.967 3.000 4.452 90.00 110.77 90.00
Space group C2/m (No. 12)
Asymmetric unit:
Co: 0.000 0.000 0.000
Pd: 0.202 0.500 0.656
O: 0.052 0.500 0.281
O: 0.150 0.000 0.939



Here is a relaxed CoPd3O crystal from Alexandria. Energies are from PBE+U.

Offset from the most stable computed form ... 0.00 eV per formula unit

Lattice parameters (Å, degrees): 4.178 4.178 4.178 90.00 90.00 90.00
Space group Pm-3m (No. 221)
Asymmetric unit:
Co: 0.000 0.000 0.000
Pd: 0.000 0.500 0.500
O: 0.500 0.500 0.500



Here is a relaxed CoPd2O6 crystal from Alexandria. Energies are from PBE+U.

DFT total energy ... -49.1 eV for the cell shown

Lattice parameters (Å, degrees): 5.2346 5.2346 4.7968 90.00 90.00 120.00
Space group P-31m (No. 162)
Asymmetric unit:
Co: 0.0000 0.0000 0.0000
Pd: 0.3333 0.6667 0.0000
O: 0.0000 0.3180 0.8001



no.,size of the total moment (μB per cell)
1,3.02
2,11.90
3,0.00
4,0.00
5,3.32
6,1.88
7,2.27
8,0.97